Material: K2TlCd4Hg3
Method: DFT, PBE
State: relaxed

Cell and atoms, written as CIF:
```
data_K2TlCd4Hg3
_space_group_name_H-M_alt 'P -4 m 2'
_space_group_IT_number 115
_cell_length_a 4.987
_cell_length_b 4.987
_cell_length_c 12.318
_cell_angle_alpha 90.00
_cell_angle_beta 90.00
_cell_angle_gamma 90.00
loop_
_space_group_symop_operation_xyz
'x,y,z'
'y,-x,-z'
'-x,-y,z'
'-y,x,-z'
'-x,y,z'
'-y,-x,-z'
'x,-y,z'
'y,x,-z'
loop_
_atom_site_label
_atom_site_fract_x
_atom_site_fract_y
_atom_site_fract_z
_atom_site_occupancy
K1 0.000 0.500 0.248 1
Tl1 0.000 0.000 0.500 1
Cd1 0.000 0.000 0.000 1
Cd2 0.000 0.500 0.637 1
Cd3 0.500 0.500 0.000 1
Hg1 0.000 0.500 0.868 1
Hg2 0.500 0.500 0.500 1
```

* DOS(E_F): 4.92 states/eV/cell
* formation energy from the elements: -0.115 eV per atom
* energy: -10.27 eV per cell